GGA+U CsZnCr2F8, optimized geometry; raw total energy = -62.15 eV per cell; total moment = 7.0 Bohr magnetons per cell; crystal system = triclinic
1.0
4.8383 0.0000 0.0000
-0.3543 4.8660 0.0000
-0.2557 -0.2062 8.6046
Cs Zn Cr F
1 1 2 8
Cartesian
0.0000 0.0000 0.0000
-0.1279 -0.1031 4.3023
2.0921 2.3486 2.7437
2.1362 2.3113 5.8608
0.9058 0.7855 2.8234
0.8376 0.8393 5.8397
1.0525 3.1794 4.3612
1.3688 2.8311 1.0765
2.8594 1.8288 7.5281
3.1758 1.4805 4.2433
3.3907 3.8206 2.7649
3.3225 3.8744 5.7812